Pr4Se3O10F6, optimized geometry, DFT GGA-PBEsol; raw formation energy = -2593 meV/atom
1.0
-4.953 -4.490 -2.352
4.568 -1.459 -6.834
6.498 -5.683 7.841
Se Pr F O
6 8 12 20
Cartesian
1.481 -2.857 -6.049
5.034 -2.392 -4.461
-1.866 -3.092 -3.137
1.079 -9.240 3.116
4.093 -9.308 0.045
2.020 -2.324 -1.390
7.007 -7.651 -1.908
4.425 -4.640 -1.876
0.574 -5.449 -3.241
5.539 -6.183 1.896
1.687 -6.991 0.531
-0.895 -3.981 0.563
3.315 -8.316 -3.198
2.798 -3.316 1.853
2.668 -6.494 -1.647
-0.660 -6.711 1.274
3.364 -5.518 2.820
6.773 -4.921 -2.619
1.021 -7.801 -3.053
2.749 -6.114 -4.166
1.112 -4.919 1.492
5.092 -3.830 1.707
3.445 -5.138 0.302
5.001 -6.712 -2.837
0.173 -5.649 -0.887
5.940 -5.983 -0.458
6.867 -8.171 0.596
3.518 -2.414 -0.507
-0.191 -6.726 -5.138
6.303 -4.906 3.793
8.874 -6.179 -1.200
3.950 -7.843 0.963
7.630 -7.404 2.952
-1.517 -4.227 -4.297
3.080 -8.729 5.293
1.099 -2.757 -0.024
5.014 -8.874 -1.321
-2.761 -5.452 -0.145
2.163 -3.788 -2.308
4.737 -4.108 -4.429
2.595 -9.218 -0.838
-0.754 -3.461 -1.941
1.375 -7.524 3.084
1.279 -4.418 -5.478
3.033 -2.902 -6.638
4.834 -7.214 4.132